Entry 1:
LaHo2In3AgPt2, relaxed, DFT PBE; raw total energy = -4.95 eV/atom
1.0
-0.329 -2.988 -2.385
6.888 -2.861 2.634
-6.778 -2.062 3.518
Ag Ho In La Pt
1 2 3 1 2
Cartesian
0.000 -0.008 0.010
2.831 -1.177 1.084
-2.786 -0.848 1.447
4.856 -3.606 0.762
-0.136 -2.779 0.413
-5.103 -3.024 1.406
0.065 -2.894 3.617
2.221 -4.087 1.727
-2.440 -3.814 2.028


Entry 2:
MgScHg2, relaxed, DFT PBE; raw total energy = -2.30 eV/atom
1.0
2.440 -4.226 0.000
2.440 4.226 0.000
0.000 0.000 8.744
Hg Mg Sc
4 2 2
Cartesian
2.440 -1.409 0.776
2.440 -1.409 3.596
2.440 1.409 5.148
2.440 1.409 7.968
2.440 1.409 2.186
2.440 -1.409 6.558
0.000 0.000 0.000
0.000 0.000 4.372


Entry 3:
NaLaZrNi, relaxed, DFT PBE; distance to the lowest polymorph of the same formula = 0 meV/atom
1.0
0.000 3.561 3.561
3.561 0.000 3.561
3.561 3.561 0.000
La Na Ni Zr
1 1 1 1
Cartesian
3.561 3.561 3.561
5.341 5.341 5.341
1.780 1.780 1.780
0.000 0.000 0.000


Entry 4:
TmPbAuSe3, relaxed, DFT PBE; distance to the lowest polymorph of the same formula = 13 meV/atom
1.0
10.906 0.000 0.000
0.000 4.184 0.000
0.000 0.000 14.542
Au Pb Se Tm
4 4 12 4
Cartesian
7.740 3.138 1.662
2.287 3.138 5.609
8.618 1.046 8.933
3.165 1.046 12.879
2.604 3.138 0.721
8.057 3.138 6.550
2.848 1.046 7.992
8.301 1.046 13.821
10.197 3.138 1.526
5.307 3.138 1.926
2.245 1.046 2.780
7.697 1.046 4.491
10.759 3.138 5.345
4.744 3.138 5.745
6.162 1.046 8.796
0.146 1.046 9.197
3.208 3.138 10.050
8.661 3.138 11.762
5.599 1.046 12.616
0.709 1.046 13.016
10.328 1.046 3.456
4.875 1.046 3.815
6.031 3.138 10.727
0.578 3.138 11.086


Entry 5:
LiLaLu, relaxed, DFT PBE; distance to the lowest polymorph of the same formula = 0 meV/atom
1.0
-1.652 3.929 2.774
-0.364 4.619 -2.097
-4.575 2.020 -0.924
La Li Lu
1 1 1
Cartesian
-1.648 2.642 -0.062
0.000 0.000 0.000
-4.943 7.926 -0.185


Entry 6:
ZrGaAgPd, relaxed, DFT PBE; distance to the lowest polymorph of the same formula = 0 meV/atom
1.0
0.000 3.275 3.275
3.275 0.000 3.275
3.275 3.275 0.000
Ag Ga Pd Zr
1 1 1 1
Cartesian
3.275 3.275 3.275
1.638 1.638 1.638
0.000 0.000 0.000
4.913 4.913 4.913


Entry 7:
BaBeNiAs2, relaxed, DFT PBE; raw total energy = -4.69 eV/atom
1.0
-2.420 -0.428 6.234
-6.088 -1.865 2.088
5.140 -1.568 -4.003
As Ba Be Ni
2 1 1 1
Cartesian
-2.985 -0.804 2.920
-5.523 -1.488 5.402
0.000 0.000 0.000
-2.601 -2.290 1.123
-0.767 -1.571 3.196


Entry 8:
TbTlHgSe3, relaxed, DFT PBE; distance to the lowest polymorph of the same formula = 43 meV/atom
1.0
12.233 0.000 0.000
0.000 4.310 0.000
0.000 0.000 12.782
Hg Se Tb Tl
4 12 4 4
Cartesian
9.171 0.000 2.495
3.054 0.000 3.896
9.179 2.155 8.887
3.063 2.155 10.287
7.132 0.000 0.833
11.837 0.000 2.169
2.871 2.155 2.184
8.988 2.155 4.207
5.721 0.000 4.222
1.016 0.000 5.558
11.218 2.155 7.224
6.513 2.155 8.560
3.246 0.000 8.576
9.363 0.000 10.598
0.396 2.155 10.614
5.101 2.155 11.950
5.703 2.155 2.215
11.820 2.155 4.176
0.414 0.000 8.606
6.531 0.000 10.567
1.969 0.000 0.038
8.086 0.000 6.353
4.147 2.155 6.429
10.264 2.155 12.744


Entry 9:
K6Fe24S26Cl, relaxed, DFT PBE; raw total energy = -6.09 eV/atom
1.0
-9.882 0.000 0.000
0.000 -9.882 0.000
4.941 4.941 9.842
Cl Fe K S
1 24 6 26
Cartesian
0.000 0.000 0.000
-3.633 -3.633 1.317
-6.249 -3.633 1.317
-3.633 -6.249 1.317
-6.249 -6.249 1.317
-3.623 1.302 3.601
-6.259 1.302 3.601
-3.623 -1.302 3.601
-6.259 -1.302 3.601
1.302 -3.623 3.601
-1.302 -3.623 3.601
1.302 -6.259 3.601
-1.302 -6.259 3.601
-3.639 1.318 6.241
-6.243 1.318 6.241
-3.639 -1.318 6.241
-6.243 -1.318 6.241
1.318 -3.639 6.241
-1.318 -3.639 6.241
1.318 -6.243 6.241
-1.318 -6.243 6.241
1.308 1.308 8.525
-1.308 1.308 8.525
1.308 -1.308 8.525
-1.308 -1.308 8.525
-2.964 0.000 0.000
-6.918 0.000 0.000
0.000 -2.964 0.000
0.000 -6.918 0.000
0.000 0.000 3.016
-4.941 -4.941 6.826
-4.941 -2.476 0.000
-2.476 -4.941 0.000
-7.406 -4.941 0.000
-4.941 -7.406 0.000
-2.270 -2.270 2.243
-7.612 -2.270 2.243
-2.270 -7.612 2.243
-7.612 -7.612 2.243
-4.941 0.000 2.434
0.000 -4.941 2.434
-4.941 -4.941 2.457
-4.941 2.445 4.905
-4.941 -2.445 4.905
2.445 -4.941 4.905
-2.445 -4.941 4.905
-2.496 0.000 4.937
-7.386 0.000 4.937
0.000 -2.496 4.937
0.000 -7.386 4.937
0.000 0.000 7.385
-4.941 0.000 7.407
0.000 -4.941 7.407
2.671 2.671 7.598
-2.671 2.671 7.598
2.671 -2.671 7.598
-2.671 -2.671 7.598


Entry 10:
NbBiPd2, relaxed, DFT PBE; raw total energy = -6.17 eV/atom
1.0
-1.234 -2.746 3.599
-2.953 -3.582 -0.686
1.573 -4.415 0.230
Bi Nb Pd
1 1 2
Cartesian
-1.307 -5.371 1.572
-0.653 -2.685 0.786
0.000 0.000 0.000
-1.960 -8.056 2.358


Entry 11:
Rb2LaNb2O7, relaxed, DFT PBE; raw total energy = -7.74 eV/atom
1.0
11.111 -2.859 0.000
11.111 2.859 0.000
0.000 0.000 5.704
La Nb O Rb
2 4 14 4
Cartesian
11.111 -1.375 1.426
11.111 1.375 4.278
9.000 1.438 1.426
13.222 1.438 1.426
9.000 -1.438 4.278
13.222 -1.438 4.278
1.598 0.000 0.000
9.095 0.000 0.000
13.128 0.000 0.000
20.625 0.000 0.000
7.140 1.612 1.426
11.111 1.070 1.426
15.082 1.612 1.426
1.598 0.000 2.852
9.095 0.000 2.852
13.128 0.000 2.852
20.625 0.000 2.852
7.140 -1.612 4.278
11.111 -1.070 4.278
15.082 -1.612 4.278
6.816 -1.328 1.426
15.406 -1.328 1.426
6.816 1.328 4.278
15.406 1.328 4.278


Entry 12:
HfBeFeGe, relaxed, DFT PBE; distance to the lowest polymorph of the same formula = 0 meV/atom
1.0
0.484 -4.147 0.537
-1.173 -1.805 3.617
-3.372 -2.518 0.099
Be Fe Ge Hf
1 1 1 1
Cartesian
-3.045 -6.352 3.190
-1.015 -2.117 1.063
0.000 0.000 0.000
-2.030 -4.235 2.127


| no. | total magnetization (μB per cell) | calculated volume (Å³/f.u.) |
| --- | --- | --- |
| 1 | 0.0 | 207.37 |
| 2 | 0.0 | 90.15 |
| 3 | 1.3 | 90.30 |
| 4 | 0.0 | 165.89 |
| 5 | 0.0 | 92.99 |
| 6 | 0.0 | 70.28 |
| 7 | 0.0 | 99.13 |
| 8 | 0.0 | 168.47 |
| 9 | 4.0 | 961.09 |
| 10 | 0.1 | 73.05 |
| 11 | 0.0 | 181.17 |
| 12 | 0.0 | 52.74 |